The following is a DFT calculation (PBE-GGA) of YMg3Fe after structural relaxation.

Calculated values
Energy above the most stable polymorph in this dataset in kJ per mole of atoms: 130.9
Mass density in g/cm³: 1.84
ΔH_f (0 K) in kJ/mol of atoms: 162.6
Size of the total moment in μB per formula unit: 2.88

```
data_YMg3Fe
_chemical_formula_sum 'Y1 Mg3 Fe1'
_cell_length_a 5.811
_cell_length_b 5.811
_cell_length_c 5.811
_cell_angle_alpha 90.00
_cell_angle_beta 90.00
_cell_angle_gamma 90.00
_space_group_name_H-M_alt 'P m -3 m'
_space_group_IT_number 221
_space_group_name_Hall '-P 4 2 3'
loop_
_atom_site_label
_atom_site_fract_x
_atom_site_fract_y
_atom_site_fract_z
Y1 0.000 0.000 0.000
Mg1 0.000 0.000 0.500
Fe1 0.500 0.500 0.500
```